This record from OQMD describes GdMgZn after structural relaxation. The functional is PBE-GGA.

```
data_GdMgZn
_chemical_formula_sum 'Gd4 Mg4 Zn4'
_cell_length_a 6.219
_cell_length_b 6.417
_cell_length_c 7.920
_cell_angle_alpha 84.99
_cell_angle_beta 86.69
_cell_angle_gamma 62.23
_symmetry_space_group_name_H-M 'P 1'
_symmetry_Int_Tables_number 1
_symmetry_space_group_name_Hall 'P 1'
loop_
_atom_site_label
_atom_site_fract_x
_atom_site_fract_y
_atom_site_fract_z
_atom_site_occupancy
Gd1 0.000 0.000 0.000 1
Gd2 0.135 0.100 0.409 1
Gd3 0.462 0.325 0.669 1
Gd4 0.721 0.662 0.375 1
Mg1 0.041 0.489 0.019 1
Mg2 0.462 0.818 0.733 1
Mg3 0.492 0.019 0.048 1
Mg4 0.534 0.503 0.042 1
Zn1 0.227 0.604 0.337 1
Zn2 0.636 0.166 0.321 1
Zn3 0.922 0.379 0.717 1
Zn4 0.967 0.797 0.667 1
```

Properties
E_tot: -2.6379 eV/atom

---

This record from OQMD describes ScBeAlPt after structural relaxation. The functional is PBE-GGA.

```
data_ScBeAlPt
_chemical_formula_sum 'Sc4 Be4 Al4 Pt4'
_cell_length_a 6.209
_cell_length_b 6.209
_cell_length_c 6.209
_cell_angle_alpha 90.00
_cell_angle_beta 90.00
_cell_angle_gamma 90.00
_symmetry_space_group_name_H-M 'F -4 3 m'
_symmetry_Int_Tables_number 216
_symmetry_space_group_name_Hall 'F -4 2 3'
loop_
_atom_site_label
_atom_site_fract_x
_atom_site_fract_y
_atom_site_fract_z
_atom_site_occupancy
Sc1 0.000 0.000 0.000 1
Be1 0.000 0.000 0.500 1
Al1 0.250 0.250 0.250 1
Pt1 0.250 0.250 0.750 1
```

Properties
energy above the most stable polymorph in this dataset: 147 meV/atom

---

This record from OQMD describes LiGaCuOs after structural relaxation. The functional is PBE-GGA.

```
data_LiGaCuOs
_chemical_formula_sum 'Li4 Ga4 Cu4 Os4'
_cell_length_a 5.906
_cell_length_b 5.906
_cell_length_c 5.906
_cell_angle_alpha 90.00
_cell_angle_beta 90.00
_cell_angle_gamma 90.00
_symmetry_space_group_name_H-M 'F -4 3 m'
_symmetry_Int_Tables_number 216
_symmetry_space_group_name_Hall 'F -4 2 3'
loop_
_atom_site_label
_atom_site_fract_x
_atom_site_fract_y
_atom_site_fract_z
_atom_site_occupancy
Li1 0.000 0.000 0.000 1
Ga1 0.250 0.250 0.250 1
Cu1 0.000 0.000 0.500 1
Os1 0.250 0.250 0.750 1
```

Properties
energy above the most stable polymorph in this dataset: 182 meV/atom

---

This record from OQMD describes FeCuPd after structural relaxation. The functional is PBE-GGA.

```
data_FeCuPd
_chemical_formula_sum 'Fe4 Cu4 Pd4'
_cell_length_a 5.687
_cell_length_b 5.687
_cell_length_c 5.687
_cell_angle_alpha 90.00
_cell_angle_beta 90.00
_cell_angle_gamma 90.00
_symmetry_space_group_name_H-M 'F -4 3 m'
_symmetry_Int_Tables_number 216
_symmetry_space_group_name_Hall 'F -4 2 3'
loop_
_atom_site_label
_atom_site_fract_x
_atom_site_fract_y
_atom_site_fract_z
_atom_site_occupancy
Fe1 0.000 0.000 0.000 1
Cu1 0.250 0.250 0.750 1
Pd1 0.250 0.250 0.250 1
```

Properties
energy above the most stable polymorph in this dataset: 0 meV/atom
calculated formation energy: 0.3869 eV/atom

---

So what do the calculations give for spin magnetization? Going down the list: 0.005 0.000 0.000 1.124 μB/atom.